# 1
A relaxed structure of LaAlRh, computed with PBE.

abc: 6.1499 6.1499 6.0133
angles: 90.00 90.00 145.62
Closest atoms and distances in Å follow each position.
Fractional positions:
La 0.1836 0.8164 0.7500  5 Al 3.17-3.26, 4 Rh 3.20
La 0.8164 0.1836 0.2500  5 Al 3.17-3.26, 4 Rh 3.20
Al 0.0859 0.9141 0.2500  4 Rh 2.57
Al 0.9141 0.0859 0.7500  4 Rh 2.57
Rh 0.5000 0.5000 0.0000  4 Al 2.57
Rh 0.5000 0.5000 0.5000  4 Al 2.57

Output
- volume (Å³/atom) = 21.41
- energy of formation (eV/atom) = -0.74

---

# 2
A relaxed structure of La4AlRh, computed with PBE.

abc: 6.2636 6.2636 6.2636
angles: 60.00 60.00 60.00
Closest atoms and distances in Å follow each position.
Fractional positions:
La 0.1246 0.1246 0.1246  6 La 3.12-3.14
La 0.1246 0.1246 0.6262  6 La 3.12-3.14
La 0.1246 0.6262 0.1246  6 La 3.12-3.14
La 0.6262 0.1246 0.1246  6 La 3.12-3.14
Al 0.5000 0.5000 0.5000  12 La 3.67, 4 Rh 3.84
Rh 0.7500 0.7500 0.7500  12 La 3.67, 4 Al 3.84

Output
- volume (Å³/atom) = 28.96
- energy of formation (eV/atom) = 0.46

---

# 3
A relaxed structure of LaAl2Rh2, computed with PBE.

abc: 10.8375 10.8375 10.8375
angles: 157.15 157.15 32.53
Closest atoms and distances in Å follow each position.
Fractional positions:
La 0.1311 0.1311 0.0000  8 Rh 3.28-3.30, 8 Al 3.28-3.47
La 0.8689 0.8689 0.0000  8 Rh 3.28-3.30, 8 Al 3.28-3.47
Al 0.0000 0.5000 0.5000  4 Rh 2.58
Al 0.3091 0.3091 0.0000  5 Rh 2.47-2.54
Al 0.5000 0.0000 0.5000  4 Rh 2.58
Al 0.6909 0.6909 0.0000  5 Rh 2.47-2.54
Rh 0.2500 0.7500 0.5000  4 Al 2.47
Rh 0.4314 0.4314 0.0000  5 Al 2.54-2.58
Rh 0.5686 0.5686 0.0000  5 Al 2.54-2.58
Rh 0.7500 0.2500 0.5000  4 Al 2.47

Output
- volume (Å³/atom) = 19.17
- energy of formation (eV/atom) = -0.88

---

# 4
A relaxed structure of LaAlRh2, computed with PBE.

abc: 4.5352 4.5352 3.5704
angles: 90.00 90.00 90.00
Closest atoms and distances in Å follow each position.
Fractional positions:
La 0.0000 0.0000 0.0000  8 Rh 2.89, 4 Al 3.21
Al 0.5000 0.5000 0.0000  8 Rh 2.89, 4 La 3.21
Rh 0.0000 0.5000 0.5000  4 La 2.89, 4 Al 2.89, 4 Rh 3.21
Rh 0.5000 0.0000 0.5000  4 La 2.89, 4 Al 2.89, 4 Rh 3.21

Output
- volume (Å³/atom) = 18.36
- energy of formation (eV/atom) = -0.66

---

# 5
A relaxed structure of LaAl2Rh, computed with PBE.

abc: 15.6097 7.1962 5.8403
angles: 90.00 90.00 90.00
Closest atoms and distances in Å follow each position.
Fractional positions:
La 0.0991 0.2500 0.2342  2 Rh 2.94-3.05, 4 Al 3.22
La 0.1370 0.7500 0.0395  2 Rh 2.90-3.08
La 0.3630 0.2500 0.5395  2 Rh 2.90-3.08
La 0.4009 0.7500 0.7342  2 Rh 2.94-3.05, 4 Al 3.22
La 0.5991 0.2500 0.2658  2 Rh 2.94-3.05, 4 Al 3.22
La 0.6370 0.7500 0.4605  2 Rh 2.90-3.08
La 0.8630 0.2500 0.9605  2 Rh 2.90-3.08
La 0.9009 0.7500 0.7658  2 Rh 2.94-3.05, 4 Al 3.22
Al 0.0474 0.0618 0.7145  3 Rh 2.58-2.64, 2 Al 2.71-2.81
Al 0.0474 0.4382 0.7145  3 Rh 2.58-2.64, 2 Al 2.71-2.81
Al 0.2087 0.5547 0.5560  3 Rh 2.60-2.63, 2 Al 2.81
Al 0.2087 0.9453 0.5560  3 Rh 2.60-2.63, 2 Al 2.81
Al 0.2913 0.0547 0.0560  3 Rh 2.60-2.63, 2 Al 2.81
Al 0.2913 0.4453 0.0560  3 Rh 2.60-2.63, 2 Al 2.81
Al 0.4526 0.5618 0.2145  3 Rh 2.58-2.64, 2 Al 2.71-2.81
Al 0.4526 0.9382 0.2145  3 Rh 2.58-2.64, 2 Al 2.71-2.81
Al 0.5474 0.0618 0.7855  3 Rh 2.58-2.64, 2 Al 2.71-2.81
Al 0.5474 0.4382 0.7855  3 Rh 2.58-2.64, 2 Al 2.71-2.81
Al 0.7087 0.5547 0.9440  3 Rh 2.60-2.63, 2 Al 2.81
Al 0.7087 0.9453 0.9440  3 Rh 2.60-2.63, 2 Al 2.81
Al 0.7913 0.0547 0.4440  3 Rh 2.60-2.63, 2 Al 2.81
Al 0.7913 0.4453 0.4440  3 Rh 2.60-2.63, 2 Al 2.81
Al 0.9526 0.5618 0.2855  3 Rh 2.58-2.64, 2 Al 2.71-2.81
Al 0.9526 0.9382 0.2855  3 Rh 2.58-2.64, 2 Al 2.71-2.81
Rh 0.0701 0.7500 0.5034  6 Al 2.58-2.61
Rh 0.1893 0.2500 0.7915  6 Al 2.61-2.64
Rh 0.3107 0.7500 0.2915  6 Al 2.61-2.64
Rh 0.4299 0.2500 0.0034  6 Al 2.58-2.61
Rh 0.5701 0.7500 0.9966  6 Al 2.58-2.61
Rh 0.6893 0.2500 0.7085  6 Al 2.61-2.64
Rh 0.8107 0.7500 0.2085  6 Al 2.61-2.64
Rh 0.9299 0.2500 0.4966  6 Al 2.58-2.61

Output
- volume (Å³/atom) = 20.50
- energy of formation (eV/atom) = -0.77

---

# 6
A relaxed structure of LaAl2Rh, computed with PBE.

abc: 4.0951 4.0951 4.9066
angles: 90.00 90.00 90.00
Closest atoms and distances in Å follow each position.
Fractional positions:
La 0.0000 0.0000 0.0000  4 Rh 2.90, 8 Al 3.20
Al 0.0000 0.5000 0.5000  4 Al 2.90, 4 Rh 3.20, 4 La 3.20
Al 0.5000 0.0000 0.5000  4 Al 2.90, 4 Rh 3.20, 4 La 3.20
Rh 0.5000 0.5000 0.0000  4 La 2.90, 8 Al 3.20

Output
- volume (Å³/atom) = 20.57
- energy of formation (eV/atom) = -0.37

---

Which of these has the lowest energy of formation?
LaAl2Rh2